This record from OQMD describes a relaxed structure of HfScIn. The functional is PBE.

Structure (extended XYZ):
```
3
Lattice="0.000 3.393 3.393 3.393 0.000 3.393 3.393 3.393 0.000" Properties=species:S:1:pos:R:3 pbc="T T T"
Hf 0.000 0.000 0.000
Sc 3.393 3.393 3.393
In 1.696 1.696 1.696
```

This record from OQMD describes a relaxed structure of TbInAu. The functional is PBE.

Structure (extended XYZ):
```
9
Lattice="7.792 0.000 0.000 -3.896 6.748 0.000 0.000 0.000 3.957" Properties=species:S:1:pos:R:3 pbc="T T T"
Tb -2.322 4.023 0.000
Tb 1.574 2.726 0.000
Tb 4.645 0.000 0.000
In -1.021 1.769 1.978
In 2.043 0.000 1.978
In 2.875 4.979 1.978
Au 0.000 0.000 0.000
Au 0.000 4.499 1.978
Au 3.896 2.249 1.978
```

no.,VASP energy (eV per atom),total magnetic moment (μB per cell)
1,-6.094,0.0
2,-4.295,0.0